AlRuRh2: relaxed, GGA-PBE.

Output
Calculated formation energy: -198 meV/atom
Crystal system: cubic
Calculated density: 9.750 Mg/m³

Lattice parameters (Å, degrees): 6.1042 6.1042 6.1042 90.00 90.00 90.00
Space group F-43m (No. 216)
Asymmetric unit:
1 Al 0.0000 0.0000 0.0000 [4 per cell]
2 Ru 0.2500 0.2500 0.2500 [4 per cell]
3 Rh 0.0000 0.0000 0.5000 [4 per cell]
4 Rh 0.2500 0.2500 0.7500 [4 per cell]



YCu2AgF8: relaxed, GGA-PBE.

Output
Crystal system: tetragonal
Calculated density: 4.820 Mg/m³
Formation energy (no corrections): -26.90 eV per formula unit

Lattice parameters (Å, degrees): 5.5527 5.5527 10.6348 90.00 90.00 90.00
Space group I-4 (No. 82)
Asymmetric unit:
1 Y 0.0000 0.0000 0.0000 [2 per cell]
2 Cu 0.0000 0.0000 0.5000 [2 per cell]
3 Cu 0.0000 0.5000 0.2500 [2 per cell]
4 Ag 0.0000 0.5000 0.7500 [2 per cell]
5 F 0.1299 0.7970 0.1829 [8 per cell]
6 F 0.1753 0.2800 0.5546 [8 per cell]



AcNpAs2: relaxed, GGA-PBE.

Output
Calculated formation energy: -1025 meV/atom
Crystal system: trigonal
Energy relative to the lowest polymorph listed for this composition: 0.00 eV/f.u.
Calculated density: 8.898 Mg/m³

Lattice parameters (Å, degrees): 4.3214 4.3214 21.2489 90.00 90.00 120.00
Space group R-3m (No. 166, hexagonal axes)
Asymmetric unit:
1 Ac 0.0000 0.0000 0.0000 [3 per cell]
2 Np 0.0000 0.0000 0.5000 [3 per cell]
3 As 0.0000 0.0000 0.2402 [6 per cell]



CsAl3S: relaxed, GGA-PBE.

Output
Crystal system: cubic
Energy relative to the lowest polymorph listed for this composition: 6.39 eV/f.u.
Calculated density: 1.758 Mg/m³
Formation energy (no corrections): 9.04 eV per formula unit

Lattice parameters (Å, degrees): 6.1467 6.1467 6.1467 90.00 90.00 90.00
Space group Pm-3m (No. 221)
Asymmetric unit:
1 Cs 0.0000 0.0000 0.0000 [1 per cell]
2 Al 0.0000 0.0000 0.5000 [3 per cell]
3 S 0.5000 0.5000 0.5000 [1 per cell]



Na4RhO5: relaxed, GGA-PBE.

Output
Crystal system: tetragonal
Calculated density: 3.518 Mg/m³
Formation energy (no corrections): -11.40 eV per formula unit

Lattice parameters (Å, degrees): 7.3102 7.3102 4.8559 90.00 90.00 90.00
Space group I4 (No. 79)
Asymmetric unit:
1 Na 0.0993 0.7011 0.0000 [8 per cell]
2 Rh 0.0000 0.0000 0.5431 [2 per cell]
3 O 0.0000 0.0000 0.9307 [2 per cell]
4 O 0.0785 0.7484 0.4918 [8 per cell]



Ce2CrNiGe6: relaxed, GGA-PBE.

Output
Calculated formation energy: -338 meV/atom
Crystal system: orthorhombic
Calculated density: 7.057 Mg/m³

Lattice parameters (Å, degrees): 6.3921 8.7703 6.9405 90.00 90.00 90.00
Space group Pmmn (No. 59, origin choice 2)
Asymmetric unit:
1 Ce 0.2500 0.0077 0.2428 [4 per cell]
2 Cr 0.2500 0.7500 0.8961 [2 per cell]
3 Ni 0.2500 0.2500 0.6179 [2 per cell]
4 Ge 0.0538 0.7500 0.5643 [4 per cell]
5 Ge 0.0549 0.2500 0.9248 [4 per cell]
6 Ge 0.2500 0.5043 0.7320 [4 per cell]



| no. | DOS at the Fermi energy (states/eV per cell) |
| --- | --- |
| 1 | 24.41 |
| 2 | 5.59 |
| 3 | 41.43 |
| 4 | 4.08 |
| 5 | 0.91 |
| 6 | 25.33 |